Ba2HRh | Alexandria via LeMat-Bulk | PBE-GGA | relaxed; calculated volume = 29.338 A^3/atom; ΔE to the lowest computed polymorph = 0.115 eV/atom
1.0
2.210 1.276 6.933
-2.210 1.276 6.933
0.000 -2.552 6.933
Ba H Rh
2 1 1
direct
0.249 0.249 0.249
0.751 0.751 0.751
0.500 0.500 0.500
0.000 0.000 0.000